Record 1
Here is an optimized crystal structure of LiInPt2 from Alexandria via LeMat-Bulk. Energies are from PBEsol.

Lattice parameters (Å, degrees): 3.9206 3.9206 4.8888 113.64 113.64 90.00
Closest atoms and distances in Å follow each position.
Fractional coordinates of all 4 atoms:
1 In 0.5000 0.5000 0.0000  8 Pt 2.77-2.81, 4 Li 2.81
2 Pt 0.0000 0.0000 0.0000  4 In 2.77, 4 Pt 2.81, 4 Li 2.81
3 Pt 0.2500 0.7500 0.5000  4 Li 2.77, 4 In 2.81, 4 Pt 2.81
4 Li 0.7500 0.2500 0.5000  8 Pt 2.77-2.81, 4 In 2.81

Calculated values
- N(E_F) (states/eV per atom) = 0.347
- energy of formation (eV per atom) = -0.50

Record 2
Here is an optimized crystal structure of ScNi2Pt from Alexandria via LeMat-Bulk. Energies are from PBEsol.

Lattice parameters (Å, degrees): 3.1669 3.1669 5.5012 90.00 90.00 90.00
Closest atoms and distances in Å follow each position.
Fractional coordinates of all 4 atoms:
1 Ni 0.0000 0.0000 0.0306  4 Ni 2.48, 1 Pt 2.49, 4 Sc 2.68
2 Ni 0.5000 0.5000 0.2242  4 Ni 2.48, 1 Sc 2.54, 4 Pt 2.65
3 Pt 0.0000 0.0000 0.4834  5 Ni 2.49-2.65, 4 Sc 2.71
4 Sc 0.5000 0.5000 0.7617  5 Ni 2.54-2.68, 4 Pt 2.71

Calculated values
- N(E_F) (states/eV per atom) = 1.100
- energy of formation (eV per atom) = -0.44

Record 3
Here is an optimized crystal structure of Ca2ZrTc from Alexandria via LeMat-Bulk. Energies are from PBEsol.

Lattice parameters (Å, degrees): 3.4898 5.5427 6.1629 116.72 106.45 90.00
Closest atoms and distances in Å follow each position.
Fractional coordinates of all 4 atoms:
1 Ca 0.0089 0.0089 0.0178  4 Tc 3.30, 4 Zr 3.47-3.59, 6 Ca 3.47-3.58
2 Ca 0.2093 0.7093 0.4186  2 Tc 3.02
3 Tc 0.4728 0.4728 0.9456  2 Zr 2.44
4 Zr 0.8091 0.3091 0.6181  2 Tc 2.44

Calculated values
- N(E_F) (states/eV per atom) = 0.961
- energy of formation (eV per atom) = 0.29

Record 4
Here is an optimized crystal structure of Sr2HgOs from Alexandria via LeMat-Bulk. Energies are from PBEsol.

Lattice parameters (Å, degrees): 3.5552 3.5552 8.0496 90.00 90.00 90.00
Closest atoms and distances in Å follow each position.
Fractional coordinates of all 4 atoms:
1 Hg 0.5000 0.5000 0.0000  8 Sr 3.39, 4 Hg 3.56
2 Os 0.5000 0.5000 0.5000  8 Sr 3.07
3 Sr 0.0000 0.0000 0.7181  4 Os 3.07, 4 Hg 3.39
4 Sr 0.0000 0.0000 0.2819  4 Os 3.07, 4 Hg 3.39

Calculated values
- N(E_F) (states/eV per atom) = 0.859
- energy of formation (eV per atom) = 0.32

Record 5
Here is an optimized crystal structure of Be2B from Alexandria via LeMat-Bulk. Energies are from PBEsol.

Lattice parameters (Å, degrees): 3.2221 3.2221 3.2221 60.00 60.00 60.00
Closest atoms and distances in Å follow each position.
Fractional coordinates of all 3 atoms:
1 Be 0.7500 0.7500 0.7500  4 B 1.97
2 Be 0.2500 0.2500 0.2500  4 B 1.97
3 B 0.0000 0.0000 0.0000  8 Be 1.97

Calculated values
- N(E_F) (states/eV per atom) = 0.253
- energy of formation (eV per atom) = 0.05

Record 6
Here is an optimized crystal structure of SrLaCuO4 from Alexandria via LeMat-Bulk. Energies are from PBEsol.

Lattice parameters (Å, degrees): 3.8113 3.8113 6.7553 106.39 106.39 90.00
Closest atoms and distances in Å follow each position.
Fractional coordinates of all 7 atoms:
1 Sr 0.3604 0.3604 0.7209  5 O 2.43-2.62
2 O 0.0052 0.5052 0.0104  2 Cu 1.91
3 O 0.5052 0.0052 0.0104  2 Cu 1.91
4 O 0.1642 0.1642 0.3283  1 Cu 2.07
5 O 0.8279 0.8279 0.6558  1 Cu 2.10, 1 La 2.33
6 Cu 0.9973 0.9973 0.9946  6 O 1.91-2.10
7 La 0.6398 0.6398 0.2796  5 O 2.33-2.53

Calculated values
- N(E_F) (states/eV per atom) = 0.270
- total energy (eV/atom) = -6.934

Record 7
Here is an optimized crystal structure of NiB from Alexandria via LeMat-Bulk. Energies are from PBEsol.

Lattice parameters (Å, degrees): 2.8919 2.9662 3.9277 90.00 111.60 90.00
Closest atoms and distances in Å follow each position.
Fractional coordinates of all 4 atoms:
1 Ni 0.1468 0.7500 0.2936  7 B 2.08-2.15
2 Ni 0.8532 0.2500 0.7064  7 B 2.08-2.15
3 B 0.4315 0.7500 0.8630  2 B 1.79
4 B 0.5685 0.2500 0.1370  2 B 1.79

Calculated values
- N(E_F) (states/eV per atom) = 0.283
- energy of formation (eV per atom) = -0.31

Record 8
Here is an optimized crystal structure of HfSb2TeN from Alexandria via LeMat-Bulk. Energies are from PBEsol.

Lattice parameters (Å, degrees): 4.5820 4.6752 4.6752 90.00 90.00 90.00
Closest atoms and distances in Å follow each position.
Fractional coordinates of all 5 atoms:
1 Sb 0.0000 0.0000 0.5000  2 N 2.34
2 Sb 0.0000 0.5000 0.0000  2 N 2.34
3 Te 0.5000 0.0000 0.0000  2 N 2.29
4 Hf 0.5000 0.5000 0.5000  8 Sb 3.27, 4 Te 3.31
5 N 0.0000 0.0000 0.0000  2 Te 2.29, 4 Sb 2.34

Calculated values
- N(E_F) (states/eV per atom) = 0.371
- total energy (eV/atom) = -6.034

no.,size of the total moment (μB/atom)
1,0.000
2,0.175
3,0.000
4,0.000
5,0.000
6,0.000
7,0.000
8,0.000